No. 1
Density functional theory data (GGA-PBE) for a relaxed Cs2BaV crystal. Values from VASP.

final energy = -2.209 eV per atom
mass density = 3.27 g/cm3
space-group type = No. 122
energy above the most stable polymorph in this dataset = 0 meV per atom

The structure in Quantum ESPRESSO input format:
```
&SYSTEM
  ibrav = 0, nat = 8, ntyp = 3
/
ATOMIC_SPECIES
Cs 132.91 Cs.upf
V 50.94 V.upf
Ba 137.33 Ba.upf
CELL_PARAMETERS angstrom
5.5192 0.0000 0.0000
0.0000 5.5192 0.0000
2.7596 2.7596 15.1183
ATOMIC_POSITIONS crystal
Cs 0.8750 0.8598 0.7500
Cs 0.6098 0.1250 0.2500
Cs 0.1402 0.6250 0.2500
Cs 0.3750 0.3902 0.7500
V 0.5000 0.5000 0.0000
V 0.2500 0.7500 0.5000
Ba 0.0000 0.0000 0.0000
Ba 0.7500 0.2500 0.5000
```

=====

No. 2
Density functional theory data (GGA-PBE) for a relaxed Ir2PbCl crystal. Values from VASP.

final energy = -4.969 eV per atom
mass density = 14.02 g/cm3
formation energy (no corrections) = 82.0 kJ per mole of atoms
space-group type = No. 65
energy above the most stable polymorph in this dataset = 652 meV per atom

The structure in Quantum ESPRESSO input format:
```
&SYSTEM
  ibrav = 0, nat = 4, ntyp = 3
/
ATOMIC_SPECIES
Pb 207.20 Pb.upf
Cl 35.45 Cl.upf
Ir 192.22 Ir.upf
CELL_PARAMETERS angstrom
3.1612 -0.0014 0.0000
-1.6234 2.7125 0.0000
0.0000 0.0000 8.6640
ATOMIC_POSITIONS crystal
Pb 0.5000 0.5000 0.2500
Cl 0.5000 0.5000 0.7500
Ir 0.0000 0.0000 0.5049
Ir 0.0000 0.0000 0.9951
```

=====

Fermi-level density of states readings, ordered: 14.1; 2.1 states/eV/cell